{
  "formula": "CrCuW2",
  "functional": "PBE-GGA",
  "state": "optimized geometry",
  "lattice": [[-2.147, -0.810, -1.198], [-1.486, -1.348, 3.575], [-2.303, 4.830, 0.864]],
  "species": ["Cr", "Cu", "W", "W"],
  "frac_coords": [[0.000, 0.000, 0.509], [0.500, 0.500, 0.744], [0.000, 0.000, 0.987], [0.500, 0.500, 0.260]],
  "relative_energy_ev_per_atom": 0.157,
  "formation_enthalpy_0k_ev_per_atom": 0.3985,
  "dos_at_fermi_per_ev_fu": 3.566,
  "final_energy_ev_per_cell": -38.0
}